No. 1
## LaTlZn (GGA-PBEsol)

Data for an optimized crystal structure of LaTlZn.

Lattice parameters (Å, degrees): 4.7389 4.7389 7.7073 90.00 90.00 120.00
Space group P6_3/mmc (No. 194)
Asymmetric unit:
La: 0.0000 0.0000 0.0000 x2
Tl: 0.3333 0.6667 0.2500 x2
Zn: 0.3333 0.6667 0.7500 x2

No. 2
## La2TlZn (GGA-PBEsol)

Data for an optimized crystal structure of La2TlZn.

Lattice parameters (Å, degrees): 3.826 5.138 5.478 90.00 90.00 90.00
Space group Pmm2 (No. 25)
Asymmetric unit:
La: 0.000 0.000 0.000 x1
La: 0.000 0.500 0.397 x1
Tl: 0.500 0.500 0.874 x1
Zn: 0.500 0.000 0.512 x1

No. 3
## La2TlZn (GGA-PBEsol)

Data for an optimized crystal structure of La2TlZn.

Lattice parameters (Å, degrees): 7.635 7.635 7.635 90.00 90.00 90.00
Space group Fm-3m (No. 225)
Asymmetric unit:
La: 0.250 0.250 0.250 x8
Tl: 0.000 0.000 0.000 x4
Zn: 0.000 0.000 0.500 x4

No. 4
## La2TlZn (GGA-PBEsol)

Data for an optimized crystal structure of La2TlZn.

Lattice parameters (Å, degrees): 3.773 5.248 10.776 90.00 90.00 90.00
Space group Imm2 (No. 44)
Asymmetric unit:
La: 0.000 0.000 0.000 x2
La: 0.000 0.500 0.221 x2
Tl: 0.000 0.500 0.783 x2
Zn: 0.000 0.000 0.475 x2

No. 5
## LaTlZn (GGA-PBEsol)

Data for an optimized crystal structure of LaTlZn.

Lattice parameters (Å, degrees): 4.7500 4.7500 3.8344 90.00 90.00 120.00
Space group P-6m2 (No. 187)
Asymmetric unit:
La: 0.0000 0.0000 0.0000 x1
Tl: 0.3333 0.6667 0.5000 x1
Zn: 0.6667 0.3333 0.5000 x1

No. 6
## La2TlZn (GGA-PBEsol)

Data for an optimized crystal structure of La2TlZn.

Lattice parameters (Å, degrees): 3.770 3.770 7.702 90.00 90.00 90.00
Space group P4/mmm (No. 123)
Asymmetric unit:
La: 0.000 0.000 0.226 x2
Tl: 0.500 0.500 0.500 x1
Zn: 0.500 0.500 0.000 x1

No. 7
## La2ZrTl (GGA-PBEsol)

Data for an optimized crystal structure of La2ZrTl.

Lattice parameters (Å, degrees): 11.411 3.349 5.709 90.00 96.46 90.00
Space group C2/m (No. 12)
Asymmetric unit:
La: 0.240 0.000 0.238 x4
Zr: 0.000 0.000 0.500 x2
Tl: 0.000 0.500 0.000 x2

No. 8
## La2ZrTl (GGA-PBEsol)

Data for an optimized crystal structure of La2ZrTl.

Lattice parameters (Å, degrees): 7.705 7.705 7.705 90.00 90.00 90.00
Space group Fm-3m (No. 225)
Asymmetric unit:
La: 0.250 0.250 0.250 x8
Zr: 0.000 0.000 0.000 x4
Tl: 0.000 0.000 0.500 x4

No. 9
## La2ZrTl (GGA-PBEsol)

Data for an optimized crystal structure of La2ZrTl.

Lattice parameters (Å, degrees): 5.692 5.692 3.488 90.00 90.00 90.00
Space group P4/mmm (No. 123)
Asymmetric unit:
La: 0.000 0.500 0.000 x2
Zr: 0.000 0.000 0.500 x1
Tl: 0.500 0.500 0.500 x1

No. 10
## LaZrTl (GGA-PBEsol)

Data for an optimized crystal structure of LaZrTl.

Lattice parameters (Å, degrees): 3.293 3.293 14.434 90.00 90.00 90.00
Space group I4mm (No. 107)
Asymmetric unit:
La: 0.000 0.000 0.000 x2
Zr: 0.000 0.000 0.318 x2
Tl: 0.000 0.000 0.674 x2

No. 11
## La2ZrTl (GGA-PBEsol)

Data for an optimized crystal structure of La2ZrTl.

Lattice parameters (Å, degrees): 3.551 3.551 8.657 90.00 90.00 90.00
Space group P4mm (No. 99)
Asymmetric unit:
La: 0.000 0.000 0.000 x1
La: 0.500 0.500 0.285 x1
Zr: 0.500 0.500 0.749 x1
Tl: 0.000 0.000 0.544 x1

No. 12
## La3Tm (GGA-PBEsol)

Data for an optimized crystal structure of La3Tm.

Lattice parameters (Å, degrees): 5.059 5.059 10.173 90.00 90.00 90.00
Space group I4/mmm (No. 139)
Asymmetric unit:
La: 0.000 0.000 0.000 x2
La: 0.000 0.500 0.250 x4
Tm: 0.000 0.000 0.500 x2

Across the entries above, M_tot takes the values 0.000; 0.000; 0.003; 0.000; 0.001; 0.000; 0.000; 6.787; 0.000; 0.000; 0.000; 0.000 Bohr magnetons per cell, respectively.
Across the entries above, energy of formation from the pure elements takes the values -388.6; -345.9; -351.6; -324.4; -372.5; -371.9; 24.7; 23.7; -51.0; -60.0; -82.0; 18.6 meV/atom, respectively.